(1)
First-principles (GGA-PBE) data for a relaxed K2HoTcO6 crystal, as listed in Alexandria via LeMat-Bulk.

Energy relative to the elements, uncorrected   -1872 meV per atom
Energy   -0.24112 hartree per atom

Cell: 6.2461 6.2461 5.7374 Å, 90.00 90.00 120.00°
Last column: nearest neighbours and their distance in Å.
Space group P-3m1 (No. 164)
Asymmetric unit:
1 K 0.3333 0.6667 0.1012 (multiplicity 2)  3 O 2.73
2 Ho 0.0000 0.0000 0.5000 (multiplicity 1)  6 O 2.27
3 Tc 0.0000 0.0000 0.0000 (multiplicity 1)  6 O 1.91
4 O 0.1396 0.2792 0.7953 (multiplicity 6)  1 Tc 1.91

(2)
First-principles (GGA-PBE) data for a relaxed Na2SbPOs crystal, as listed in Alexandria via LeMat-Bulk.

Energy relative to the elements, uncorrected   1176 meV per atom
Energy   -0.12876 hartree per atom

Cell: 5.0122 5.0122 5.2807 Å, 90.00 90.00 90.00°
Last column: nearest neighbours and their distance in Å.
Space group P4/mmm (No. 123)
Asymmetric unit:
1 Na 0.0000 0.5000 0.0000 (multiplicity 2)  2 P 2.51
2 Sb 0.0000 0.0000 0.5000 (multiplicity 1)  2 P 2.64
3 P 0.0000 0.0000 0.0000 (multiplicity 1)  4 Na 2.51, 2 Sb 2.64
4 Os 0.5000 0.5000 0.5000 (multiplicity 1)  4 Sb 3.54, 8 Na 3.64

(3)
First-principles (GGA-PBE) data for a relaxed KTc2Hg crystal, as listed in Alexandria via LeMat-Bulk.

Energy   -0.15768 hartree per atom
DFT formation energy   1242.1 meV/atom

Cell: 5.6578 10.5678 2.6135 Å, 90.00 90.00 90.00°
Last column: nearest neighbours and their distance in Å.
Space group Cmmm (No. 65)
Asymmetric unit:
1 K 0.0000 0.0000 0.0000 (multiplicity 2)  2 K 2.61, 2 Hg 2.83
2 Tc 0.2500 0.2500 0.5000 (multiplicity 4)  4 Tc 2.61-2.83
3 Hg 0.0000 0.5000 0.0000 (multiplicity 2)  2 Hg 2.61, 2 K 2.83

(4)
First-principles (GGA-PBE) data for a relaxed Sr3SnN crystal, as listed in Alexandria via LeMat-Bulk.

Energy relative to the elements, uncorrected   -570 meV per atom
Energy   -0.14865 hartree per atom

Cell: 6.2329 3.8766 12.6250 Å, 90.00 90.89 90.00°
Last column: nearest neighbours and their distance in Å.
Space group P2 (No. 3)
Asymmetric unit:
1 Sr 0.1603 0.0000 0.3915 (multiplicity 2)  3 N 2.50-2.58
2 Sr 0.2522 0.4993 0.0882 (multiplicity 2)  6 Sn 3.58-3.76, 4 Sr 3.82-3.88
3 Sr 0.3387 0.5000 0.6132 (multiplicity 2)  3 N 2.53-2.62
4 Sn 0.2442 0.9990 0.8502 (multiplicity 2)  9 Sr 3.58-3.93, 2 Sn 3.88
5 N 0.0000 0.5001 0.5000 (multiplicity 1)  6 Sr 2.53-2.58
6 N 0.5000 0.0000 0.5000 (multiplicity 1)  6 Sr 2.50-2.62